[1]
Below is a geometry-optimized Pm3ErSb2 structure, with properties calculated at the PBE-GGA level.

* energy above the lowest structure with this stoichiometry: 0.0 kJ per mole of atoms
* magnetization: 0.00 μB per formula unit
* DOS(E_F): 4.9 states/eV per cell
* theoretical density: 7.81 g/cm3
* E: -32.0 eV for the cell shown
* SG: P-4m2

abc: 4.5422 4.5422 8.7132
angles: 90.00 90.00 90.00
Closest atoms and distances in Å follow each position.
Fractional coordinates of all 6 atoms:
1 Pm 0.0000 0.0000 0.0000  4 Er 3.21, 4 Sb 3.31
2 Pm 0.0000 0.5000 0.6468  5 Sb 3.23-3.28
3 Pm 0.5000 0.0000 0.3532  5 Sb 3.23-3.28
4 Er 0.5000 0.5000 0.0000  4 Pm 3.21, 4 Sb 3.31
5 Sb 0.0000 0.5000 0.2763  7 Pm 3.23-3.31, 2 Er 3.31
6 Sb 0.5000 0.0000 0.7237  7 Pm 3.23-3.31, 2 Er 3.31

---

[2]
Below is a geometry-optimized PmMn3Ga3 structure, with properties calculated at the PBE-GGA level.

* magnetization: 9.44 μB per formula unit
* DOS(E_F): 6.2 states/eV per cell
* theoretical density: 5.68 g/cm3
* E: -77.5 eV for the cell shown
* SG: Pm-3n

abc: 6.7214 6.7214 6.7214
angles: 90.00 90.00 90.00
Closest atoms and distances in Å follow each position.
Fractional coordinates of all 14 atoms:
1 Pm 0.0000 0.0000 0.0000  12 Mn 3.76, 12 Ga 3.76
2 Pm 0.5000 0.5000 0.5000  12 Mn 3.76, 12 Ga 3.76
3 Mn 0.0000 0.2500 0.5000  4 Ga 2.38
4 Mn 0.0000 0.7500 0.5000  4 Ga 2.38
5 Mn 0.2500 0.5000 0.0000  4 Ga 2.38
6 Mn 0.5000 0.0000 0.2500  4 Ga 2.38
7 Mn 0.5000 0.0000 0.7500  4 Ga 2.38
8 Mn 0.7500 0.5000 0.0000  4 Ga 2.38
9 Ga 0.0000 0.5000 0.2500  4 Mn 2.38
10 Ga 0.0000 0.5000 0.7500  4 Mn 2.38
11 Ga 0.2500 0.0000 0.5000  4 Mn 2.38
12 Ga 0.5000 0.2500 0.0000  4 Mn 2.38
13 Ga 0.5000 0.7500 0.0000  4 Mn 2.38
14 Ga 0.7500 0.0000 0.5000  4 Mn 2.38

---

[3]
Below is a geometry-optimized KZr2Pb structure, with properties calculated at the PBE-GGA level.

* energy above the lowest structure with this stoichiometry: 25.8 kJ per mole of atoms
* magnetization: 0.00 μB per formula unit
* DOS(E_F): 4.9 states/eV per cell
* theoretical density: 6.21 g/cm3
* E: -20.4 eV for the cell shown
* SG: C2/m

abc: 6.4099 6.4099 5.9133
angles: 104.00 104.00 29.17
Closest atoms and distances in Å follow each position.
Fractional coordinates of all 4 atoms:
1 K 0.0000 0.0000 0.0000  2 K 3.23, 4 Pb 3.37, 2 Zr 3.61
2 Zr 0.2176 0.2176 0.6935  4 Zr 3.07-3.23, 2 Pb 3.11
3 Zr 0.7824 0.7824 0.3065  4 Zr 3.07-3.23, 2 Pb 3.11
4 Pb 0.5000 0.5000 0.5000  4 Zr 3.11, 2 Pb 3.23, 4 K 3.37

---

[4]
Below is a geometry-optimized BaBeCl structure, with properties calculated at the PBE-GGA level.

* energy above the lowest structure with this stoichiometry: 60.9 kJ per mole of atoms
* magnetization: 0.00 μB per formula unit
* DOS(E_F): 1.8 states/eV per cell
* theoretical density: 3.64 g/cm3
* E: -8.3 eV for the cell shown
* SG: P3m1

abc: 4.9230 4.9230 3.9557
angles: 90.00 90.00 120.00
Closest atoms and distances in Å follow each position.
Fractional coordinates of all 3 atoms:
1 Ba 0.0000 0.0000 0.0000  6 Be 3.46-3.47, 6 Cl 3.46-3.47
2 Be 0.6667 0.3333 0.4980  3 Cl 2.84
3 Cl 0.3333 0.6667 0.5017  3 Be 2.84

---

[5]
Below is a geometry-optimized PrTm2Tl4 structure, with properties calculated at the PBE-GGA level.

* energy above the lowest structure with this stoichiometry: 8.8 kJ per mole of atoms
* magnetization: 0.00 μB per formula unit
* DOS(E_F): 4.9 states/eV per cell
* theoretical density: 10.19 g/cm3
* E: -23.9 eV for the cell shown
* SG: R-3m

abc: 10.4857 10.4857 10.4857
angles: 27.11 27.11 27.11
Closest atoms and distances in Å follow each position.
Fractional coordinates of all 7 atoms:
1 Pr 0.0000 0.0000 0.0000  6 Tl 3.26
2 Tm 0.1304 0.1304 0.1304  4 Tl 3.05-3.31
3 Tm 0.8696 0.8696 0.8696  4 Tl 3.05-3.31
4 Tl 0.2399 0.2399 0.2399  4 Tm 3.05-3.31, 3 Tl 3.09
5 Tl 0.3863 0.3863 0.3863  3 Tl 3.09, 3 Pr 3.26
6 Tl 0.6137 0.6137 0.6137  3 Tl 3.09, 3 Pr 3.26
7 Tl 0.7601 0.7601 0.7601  4 Tm 3.05-3.31, 3 Tl 3.09

---

[6]
Below is a geometry-optimized LaZrP structure, with properties calculated at the PBE-GGA level.

* energy above the lowest structure with this stoichiometry: 83.2 kJ per mole of atoms
* magnetization: 0.00 μB per formula unit
* DOS(E_F): 3.2 states/eV per cell
* theoretical density: 6.23 g/cm3
* E: -18.7 eV for the cell shown
* SG: F-43m

abc: 4.6165 4.6165 4.6165
angles: 60.00 60.00 60.00
Closest atoms and distances in Å follow each position.
Fractional coordinates of all 3 atoms:
1 La 0.0000 0.0000 0.0000  4 Zr 2.83
2 Zr 0.7500 0.7500 0.7500  4 La 2.83, 4 P 2.83
3 P 0.5000 0.5000 0.5000  4 Zr 2.83

---

Q: Among the records above, which one has the highest magnetization?
A: PmMn3Ga3

---

Q: Number 6 is which compound?
A: LaZrP

---

Repeat the first record exactly.
Below is a geometry-optimized Pm3ErSb2 structure, with properties calculated at the PBE-GGA level.

* energy above the lowest structure with this stoichiometry: 0.0 kJ per mole of atoms
* magnetization: 0.00 μB per formula unit
* DOS(E_F): 4.9 states/eV per cell
* theoretical density: 7.81 g/cm3
* E: -32.0 eV for the cell shown
* SG: P-4m2

abc: 4.5422 4.5422 8.7132
angles: 90.00 90.00 90.00
Closest atoms and distances in Å follow each position.
Fractional coordinates of all 6 atoms:
1 Pm 0.0000 0.0000 0.0000  4 Er 3.21, 4 Sb 3.31
2 Pm 0.0000 0.5000 0.6468  5 Sb 3.23-3.28
3 Pm 0.5000 0.0000 0.3532  5 Sb 3.23-3.28
4 Er 0.5000 0.5000 0.0000  4 Pm 3.21, 4 Sb 3.31
5 Sb 0.0000 0.5000 0.2763  7 Pm 3.23-3.31, 2 Er 3.31
6 Sb 0.5000 0.0000 0.7237  7 Pm 3.23-3.31, 2 Er 3.31

---

Q: DOS(E_F) of number 3 (KZr2Pb)?
A: 4.9 states/eV per cell